# Ba2AlFe3O8 (PBE+U, relaxed)
data_Ba2AlFe3O8
_cell_length_a 3.874
_cell_length_b 3.874
_cell_length_c 12.033
_cell_angle_alpha 90.00
_cell_angle_beta 90.00
_cell_angle_gamma 90.00
_space_group_name_H-M_alt 'P 1'
_space_group_IT_number 1
loop_
_space_group_symop_operation_xyz
'x,y,z'
loop_
_atom_site_label
_atom_site_fract_x
_atom_site_fract_y
_atom_site_fract_z
Ba1 0.500 0.500 0.167
Ba2 0.500 0.500 0.833
Al1 0.500 0.500 0.500
Fe1 0.000 0.000 0.351
Fe2 0.000 0.000 0.000
Fe3 0.000 0.000 0.649
O1 0.000 0.500 0.397
O2 0.500 0.000 0.397
O3 0.500 0.000 0.000
O4 0.000 0.000 0.193
O5 0.000 0.500 0.603
O6 0.500 0.000 0.603
O7 0.000 0.000 0.807
O8 0.000 0.500 0.000
# Space group   P4/mmm (123)
# Crystal system   tetragonal
# DFT total energy   -6.455 eV per atom